## Tl2IrSe (meta-GGA SCAN)

Data for a PBEsol-optimized structure of Tl2IrSe.

The structure in POSCAR format:
```
Tl2IrSe
1.0
-2.4083 2.4083 3.5269
2.4083 -2.4083 3.5269
2.4083 2.4083 -3.5269
Tl Ir Se
2 1 1
Direct
0.0000 0.0000 0.0000
0.7500 0.2500 0.5000
0.5000 0.5000 0.0000
0.2500 0.7500 0.5000
```

Summary:
Relative energy among the computed polymorphs ... 0 meV per atom
Symmetry ... I-4m2, No. 119
Raw formation energy ... 662 meV per atom
Crystal system ... tetragonal

***

## Sc2ReHg (meta-GGA SCAN)

Data for a PBEsol-optimized structure of Sc2ReHg.

The structure in POSCAR format:
```
Sc2ReHg
1.0
1.7328 -2.3194 0.0000
1.7328 2.3194 0.0000
0.0000 0.0000 9.5016
Sc Re Hg
2 1 1
Direct
0.0000 0.0000 0.0000
0.5000 0.5000 0.2920
0.5000 0.5000 0.7824
0.0000 0.0000 0.5417
```

Summary:
Calculated formation energy ... 0.25 eV per atom
Symmetry ... Cmm2, No. 35
Crystal system ... orthorhombic

***

## SrYP2 (meta-GGA SCAN)

Data for a PBEsol-optimized structure of SrYP2.

The structure in POSCAR format:
```
SrYP2
1.0
3.6993 -3.6990 0.0000
3.6993 3.6990 0.0000
-0.0267 0.0000 3.1687
Sr Y P
1 1 2
Direct
0.0000 0.0000 0.0000
0.5000 0.5000 0.0000
0.0000 0.5000 0.5000
0.5000 0.0000 0.5000
```

Summary:
Relative energy among the computed polymorphs ... 0 meV per atom
Calculated formation energy ... -1.00 eV per atom
Symmetry ... C2/m, No. 12
Crystal system ... monoclinic

***

## AlReSe2Br (meta-GGA SCAN)

Data for a PBEsol-optimized structure of AlReSe2Br.

The structure in POSCAR format:
```
AlReSe2Br
1.0
4.8980 0.0000 0.0000
0.0000 4.8980 0.0000
0.0000 0.0000 4.7411
Al Re Se Br
1 1 2 1
Direct
0.0000 0.0000 0.0000
0.5000 0.5000 0.5000
0.0000 0.5000 0.0000
0.5000 0.0000 0.0000
0.0000 0.0000 0.5000
```

Summary:
Symmetry ... P4/mmm, No. 123
Raw formation energy ... 886 meV per atom
Crystal system ... tetragonal

***

## TlNiBr2 (meta-GGA SCAN)

Data for a PBEsol-optimized structure of TlNiBr2.

The structure in POSCAR format:
```
TlNiBr2
1.0
0.0000 3.6018 3.6018
3.6018 0.0000 3.6018
3.6018 3.6018 0.0000
Tl Ni Br
1 1 2
Direct
0.0000 0.0000 0.0000
0.5000 0.5000 0.5000
0.2500 0.2500 0.2500
0.7500 0.7500 0.7500
```

Summary:
Relative energy among the computed polymorphs ... 118 meV per atom
Symmetry ... Fm-3m, No. 225
Raw formation energy ... 139 meV per atom
Crystal system ... cubic

***

## Sr3LaPt (meta-GGA SCAN)

Data for a PBEsol-optimized structure of Sr3LaPt.

The structure in POSCAR format:
```
Sr3LaPt
1.0
5.6949 0.0000 0.0000
0.0000 5.6949 0.0000
0.0000 0.0000 5.6949
Sr La Pt
3 1 1
Direct
0.0000 0.0000 0.5000
0.0000 0.5000 0.0000
0.5000 0.0000 0.0000
0.0000 0.0000 0.0000
0.5000 0.5000 0.5000
```

Summary:
Calculated formation energy ... 1.21 eV per atom
Symmetry ... Pm-3m, No. 221
Crystal system ... cubic

***

## CrFe2Tc (meta-GGA SCAN)

Data for a PBEsol-optimized structure of CrFe2Tc.

The structure in POSCAR format:
```
CrFe2Tc
1.0
2.5154 -3.5545 0.0000
2.5154 3.5545 0.0000
0.0000 0.0000 2.5347
Cr Fe Tc
1 2 1
Direct
0.0000 0.0000 0.0000
0.0000 0.5000 0.5000
0.5000 0.0000 0.5000
0.5000 0.5000 0.0000
```

Summary:
Calculated formation energy ... 0.18 eV per atom
Symmetry ... Cmmm, No. 65
Crystal system ... orthorhombic

***

## HRu2PtW (meta-GGA SCAN)

Data for a PBEsol-optimized structure of HRu2PtW.

The structure in POSCAR format:
```
HRu2PtW
1.0
4.6161 0.0000 0.0000
0.0000 4.6161 0.0000
0.0000 0.0000 4.7988
H Ru Pt W
1 2 1 1
Direct
0.0000 0.0000 0.0000
0.0000 0.5000 0.5000
0.5000 0.0000 0.5000
0.5000 0.5000 0.0000
0.5000 0.5000 0.5000
```

Summary:
Symmetry ... P4/mmm, No. 123
Crystal system ... tetragonal

***

## Co2HRh (meta-GGA SCAN)

Data for a PBEsol-optimized structure of Co2HRh.

The structure in POSCAR format:
```
Co2HRh
1.0
-2.8403 2.8403 2.3542
2.8403 -2.8403 2.3542
2.8403 2.8403 -2.3542
Co H Rh
4 2 2
Direct
0.0190 0.1250 0.3940
0.3750 0.9810 0.1060
0.7310 0.6250 0.6060
0.8750 0.2690 0.8940
0.0000 0.0000 0.0000
0.7500 0.2500 0.5000
0.2500 0.7500 0.5000
0.5000 0.5000 0.0000
```

Summary:
Symmetry ... I-42d, No. 122
Crystal system ... tetragonal

***

## LaCu2RhSe (meta-GGA SCAN)

Data for a PBEsol-optimized structure of LaCu2RhSe.

The structure in POSCAR format:
```
LaCu2RhSe
1.0
4.6137 0.0000 0.0000
0.0000 4.6137 0.0000
0.0000 0.0000 5.2165
La Cu Rh Se
1 2 1 1
Direct
0.0000 0.0000 0.0000
0.0000 0.5000 0.5000
0.5000 0.0000 0.5000
0.0000 0.0000 0.5000
0.5000 0.5000 0.0000
```

Summary:
Symmetry ... P4/mmm, No. 123
Raw formation energy ... -56 meV per atom
Crystal system ... tetragonal

***

## KCd2Hg (meta-GGA SCAN)

Data for a PBEsol-optimized structure of KCd2Hg.

The structure in POSCAR format:
```
KCd2Hg
1.0
3.6723 0.0000 0.0000
0.0000 3.6723 0.0000
0.0000 0.0000 8.0576
K Cd Hg
1 2 1
Direct
0.0000 0.0000 0.0000
0.0000 0.0000 0.5053
0.5000 0.5000 0.3121
0.5000 0.5000 0.7136
```

Summary:
Calculated formation energy ... -0.11 eV per atom
Symmetry ... P4mm, No. 99
Crystal system ... tetragonal

***

## AlTl2F (meta-GGA SCAN)

Data for a PBEsol-optimized structure of AlTl2F.

The structure in POSCAR format:
```
AlTl2F
1.0
-2.6112 2.6112 7.5032
2.6112 -2.6112 7.5032
2.6112 2.6112 -7.5032
Al Tl F
2 4 2
Direct
0.0000 0.0000 0.0000
0.7500 0.2500 0.5000
0.1790 0.6250 0.0540
0.3750 0.4290 0.5540
0.5710 0.1250 0.9460
0.8750 0.8210 0.4460
0.2500 0.7500 0.5000
0.5000 0.5000 0.0000
```

Summary:
Symmetry ... I-42d, No. 122
Raw formation energy ... -416 meV per atom
Crystal system ... tetragonal

***

Number 1: final energy -58.31 eV/atom, N(E_F) 2.72 states/eV/f.u.. Number 2: final energy -41.68 eV/atom, N(E_F) 4.77 states/eV/f.u.. Number 3: final energy -18.73 eV/atom, N(E_F) 1.32 states/eV/f.u.. Number 4: final energy -26.81 eV/atom, N(E_F) 1.35 states/eV/f.u.. Number 5: final energy -31.72 eV/atom, N(E_F) 8.82 states/eV/f.u.. Number 6: final energy -34.82 eV/atom, N(E_F) 5.15 states/eV/f.u.. Number 7: final energy -22.25 eV/atom, N(E_F) 3.25 states/eV/f.u.. Number 8: final energy -40.50 eV/atom, N(E_F) 4.33 states/eV/f.u.. Number 9: final energy -17.68 eV/atom, N(E_F) 3.20 states/eV/f.u.. Number 10: final energy -25.53 eV/atom, N(E_F) 3.12 states/eV/f.u.. Number 11: final energy -34.44 eV/atom, N(E_F) 1.87 states/eV/f.u.. Number 12: final energy -39.42 eV/atom, N(E_F) 2.07 states/eV/f.u..